The following is a DFT calculation (PBE with a Hubbard U) of crystalline Rb2MoCl2F4 at its relaxed geometry.

POSCAR file:
```
Rb2MoCl2F4
1.0
6.679 0.003 0.004
-3.204 5.861 -0.004
-3.204 -2.063 5.486
Mo Rb Cl F
1 2 2 4
Direct
0.000 0.000 0.000
0.500 0.750 0.250
0.500 0.250 0.750
0.000 0.734 0.734
0.000 0.266 0.266
0.000 0.205 0.795
0.411 0.205 0.205
0.000 0.795 0.205
0.589 0.795 0.795
```

Its symmetry is I4/mmm, No. 139. For the density, the calculation gives 3.20 Mg/m³. The total energy comes out at -4.570 eV per atom.